A geometry-optimized ReIrOs structure, computed with PBEsol.

The energy above the most stable polymorph in this dataset is 0 meV/atom. As for the density of states at the Fermi level: 1.0312 states/eV per atom. The total energy comes out at -11.551 eV per atom. The calculation puts the formation energy at 240 meV/atom.

It has space group P-6m2 (No. 187), with a = 4.3044 Å, b = 4.3044 Å, c = 2.7258 Å, α = 90.00°, β = 90.00° and γ = 120.00°. The distinct sites, in fractional coordinates, are Re at (0.0000, 0.0000, 0.0000), Ir at (0.3333, 0.6667, 0.5000) and Os at (0.6667, 0.3333, 0.0000).